# 1
A plane-wave DFT calculation with PBE was carried out for a geometry-optimized NaMg2Pd structure. Values from VASP.

DOS(E_F) (states/eV/f.u.): 1.6
Energy relative to the elements (meV per atom): 71

Structure (Quantum ESPRESSO input):
```
&SYSTEM
  ibrav = 0, nat = 8, ntyp = 3
/
ATOMIC_SPECIES
Mg 24.30 Mg.upf
Na 22.99 Na.upf
Pd 106.42 Pd.upf
ATOMIC_POSITIONS crystal
Mg 0.875 0.908 0.750
Mg 0.092 0.625 0.250
Na 0.250 0.750 0.500
Na 0.500 0.500 0.000
Pd 0.000 0.000 0.000
Mg 0.658 0.125 0.250
Mg 0.375 0.342 0.750
Pd 0.750 0.250 0.500
CELL_PARAMETERS angstrom
-4.101 1.267 -0.368
-1.273 -4.115 0.012
-3.469 -1.154 9.458
```

***

# 2
A plane-wave DFT calculation with PBE was carried out for a geometry-optimized BaSiC2 structure. Values from VASP.

DOS(E_F) (states/eV/f.u.): 0.9
Formation energy without anion corrections (eV/atom): 0.44

Structure (Quantum ESPRESSO input):
```
&SYSTEM
  ibrav = 0, nat = 8, ntyp = 3
/
ATOMIC_SPECIES
C 12.01 C.upf
Ba 137.33 Ba.upf
Si 28.09 Si.upf
ATOMIC_POSITIONS crystal
C 0.875 0.625 0.750
C 0.375 0.125 0.250
C 0.375 0.625 0.250
Ba 0.750 0.250 0.500
Si 0.500 0.500 0.000
Si 0.250 0.750 0.500
Ba 0.000 0.000 0.000
C 0.375 0.625 0.750
CELL_PARAMETERS angstrom
4.957 0.000 0.000
0.000 4.957 0.000
2.478 2.478 5.413
```

***

# 3
A plane-wave DFT calculation with PBE was carried out for a geometry-optimized Pm8Sb2C3 structure. Values from VASP.

DOS(E_F) (states/eV/f.u.): 9.7
Formation energy without anion corrections (eV/atom): -0.39

Structure (Quantum ESPRESSO input):
```
&SYSTEM
  ibrav = 0, nat = 13, ntyp = 3
/
ATOMIC_SPECIES
C 12.01 C.upf
Pm 145.00 Pm.upf
Sb 121.76 Sb.upf
ATOMIC_POSITIONS crystal
C 0.000 0.252 0.000
Pm 0.390 0.853 0.186
Sb 0.677 0.746 0.492
Pm 0.610 0.667 0.814
C 0.500 0.000 0.000
Pm 0.074 0.402 0.804
Pm 0.390 0.333 0.186
Pm 0.102 0.906 0.811
Pm 0.926 0.598 0.196
C 0.000 0.748 0.000
Sb 0.323 0.254 0.508
Pm 0.898 0.094 0.189
Pm 0.610 0.147 0.814
CELL_PARAMETERS angstrom
-0.298 1.831 -6.361
-6.911 -2.811 -0.485
0.740 7.373 4.347
```

***

# 4
A plane-wave DFT calculation with PBE was carried out for a geometry-optimized SrLi2AcCl8 structure. Values from VASP.

DOS(E_F) (states/eV/f.u.): 12.4
Formation energy without anion corrections (eV/atom): -1.85

Structure (Quantum ESPRESSO input):
```
&SYSTEM
  ibrav = 0, nat = 12, ntyp = 4
/
ATOMIC_SPECIES
Cl 35.45 Cl.upf
Li 6.94 Li.upf
Ac 227.00 Ac.upf
Sr 87.62 Sr.upf
ATOMIC_POSITIONS crystal
Cl 0.163 0.318 0.751
Cl 0.845 0.163 0.249
Cl 0.318 0.155 0.249
Li 0.333 0.667 0.843
Li 0.667 0.333 0.157
Cl 0.837 0.682 0.249
Cl 0.155 0.837 0.751
Cl 0.333 0.667 0.123
Cl 0.682 0.845 0.751
Ac 0.000 0.000 0.000
Cl 0.667 0.333 0.877
Sr 0.000 0.000 0.500
CELL_PARAMETERS angstrom
7.551 0.000 0.000
-3.775 6.539 0.000
0.000 0.000 8.251
```

***

# 5
A plane-wave DFT calculation with PBE was carried out for a geometry-optimized ThSc2Al9 structure. Values from VASP.

DOS(E_F) (states/eV/f.u.): 6.7
Energy relative to the elements (meV per atom): -348

Structure (Quantum ESPRESSO input):
```
&SYSTEM
  ibrav = 0, nat = 12, ntyp = 3
/
ATOMIC_SPECIES
Al 26.98 Al.upf
Sc 44.96 Sc.upf
Th 232.04 Th.upf
ATOMIC_POSITIONS crystal
Al 0.410 0.922 0.257
Al 0.335 0.335 0.994
Al 0.665 0.665 0.006
Al 0.500 0.500 0.500
Al 0.590 0.590 0.743
Al 0.078 0.590 0.743
Al 0.410 0.410 0.257
Sc 0.858 0.858 0.427
Al 0.922 0.410 0.257
Al 0.590 0.078 0.743
Sc 0.142 0.142 0.573
Th 0.000 0.000 0.000
CELL_PARAMETERS angstrom
5.491 0.000 0.000
2.746 4.755 0.000
2.746 1.585 8.626
```

***

# 6
A plane-wave DFT calculation with PBE was carried out for a geometry-optimized In3OsS structure. Values from VASP.

DOS(E_F) (states/eV/f.u.): 3.8
E above lowest polymorph (eV/atom): 0.0000
Formation energy without anion corrections (eV/atom): 0.42

Structure (Quantum ESPRESSO input):
```
&SYSTEM
  ibrav = 0, nat = 5, ntyp = 3
/
ATOMIC_SPECIES
In 114.82 In.upf
Os 190.23 Os.upf
S 32.06 S.upf
ATOMIC_POSITIONS crystal
In 0.000 0.000 0.500
Os 0.000 0.000 0.000
In 0.000 0.500 0.000
S 0.500 0.500 0.500
In 0.500 0.000 0.000
CELL_PARAMETERS angstrom
-3.807 -3.365 -0.886
3.353 -3.196 -2.268
0.930 -2.250 4.547
```

***

# 7
A plane-wave DFT calculation with PBE was carried out for a geometry-optimized TcAs3Se structure. Values from VASP.

DOS(E_F) (states/eV/f.u.): 4.0
E above lowest polymorph (eV/atom): 0.0000
Formation energy without anion corrections (eV/atom): 0.41

Structure (Quantum ESPRESSO input):
```
&SYSTEM
  ibrav = 0, nat = 5, ntyp = 3
/
ATOMIC_SPECIES
As 74.92 As.upf
Tc 98.00 Tc.upf
Se 78.96 Se.upf
ATOMIC_POSITIONS crystal
As 0.000 0.500 0.000
As 0.000 0.000 0.500
As 0.500 0.000 0.000
Tc 0.000 0.000 0.000
Se 0.500 0.500 0.500
CELL_PARAMETERS angstrom
-2.133 3.289 -2.764
-3.773 -2.911 -0.552
-2.056 1.929 3.881
```

***

# 8
A plane-wave DFT calculation with PBE was carried out for a geometry-optimized Mn2CuPb structure. Values from VASP.

DOS(E_F) (states/eV/f.u.): 3.0
Energy relative to the elements (meV per atom): 365

Structure (Quantum ESPRESSO input):
```
&SYSTEM
  ibrav = 0, nat = 4, ntyp = 3
/
ATOMIC_SPECIES
Mn 54.94 Mn.upf
Cu 63.55 Cu.upf
Pb 207.20 Pb.upf
ATOMIC_POSITIONS crystal
Mn 0.500 0.500 0.000
Mn 0.000 0.000 0.000
Cu 0.250 0.750 0.500
Pb 0.750 0.250 0.500
CELL_PARAMETERS angstrom
-1.157 4.147 2.321
-4.812 0.809 -0.341
2.576 -3.920 1.387
```

***

# 9
A plane-wave DFT calculation with PBE was carried out for a geometry-optimized VCd2Au8 structure. Values from VASP.

DOS(E_F) (states/eV/f.u.): 6.3
Energy relative to the elements (meV per atom): 8

Structure (Quantum ESPRESSO input):
```
&SYSTEM
  ibrav = 0, nat = 11, ntyp = 3
/
ATOMIC_SPECIES
Au 196.97 Au.upf
Cd 112.41 Cd.upf
V 50.94 V.upf
ATOMIC_POSITIONS crystal
Au 0.408 0.679 0.816
Cd 0.816 0.418 0.633
Au 0.963 0.320 0.926
Au 0.592 0.321 0.184
V 0.500 0.000 0.000
Au 0.366 0.080 0.731
Au 0.780 0.821 0.560
Au 0.634 0.920 0.269
Au 0.037 0.680 0.074
Au 0.220 0.179 0.440
Cd 0.184 0.582 0.367
CELL_PARAMETERS angstrom
2.814 0.000 -0.981
-0.351 6.830 -1.007
1.815 1.561 9.733
```

***

# 10
A plane-wave DFT calculation with PBE was carried out for a geometry-optimized GaSi2Ru3 structure. Values from VASP.

DOS(E_F) (states/eV/f.u.): 2.8
Formation energy without anion corrections (eV/atom): -0.57

Structure (Quantum ESPRESSO input):
```
&SYSTEM
  ibrav = 0, nat = 6, ntyp = 3
/
ATOMIC_SPECIES
Si 28.09 Si.upf
Ru 101.07 Ru.upf
Ga 69.72 Ga.upf
ATOMIC_POSITIONS crystal
Si 0.500 0.500 0.167
Ru 0.000 0.000 0.679
Ru 0.000 0.000 0.321
Ru 0.000 0.000 0.000
Ga 0.500 0.500 0.500
Si 0.500 0.500 0.833
CELL_PARAMETERS angstrom
-2.278 0.074 1.887
-1.800 -0.977 -2.136
1.725 -8.455 2.415
```

***

# 11
A plane-wave DFT calculation with PBE was carried out for a geometry-optimized Zn2CoH2 structure. Values from VASP.

DOS(E_F) (states/eV/f.u.): 4.5
E above lowest polymorph (eV/atom): 0.2791

Structure (Quantum ESPRESSO input):
```
&SYSTEM
  ibrav = 0, nat = 5, ntyp = 3
/
ATOMIC_SPECIES
H 1.01 H.upf
Zn 65.41 Zn.upf
Co 58.93 Co.upf
ATOMIC_POSITIONS crystal
H 0.750 0.250 0.500
Zn 0.366 0.366 0.268
Zn 0.634 0.634 0.732
Co 0.000 0.000 0.000
H 0.250 0.750 0.500
CELL_PARAMETERS angstrom
2.694 0.000 0.000
0.000 2.694 0.000
1.347 1.347 6.405
```

***

# 12
A plane-wave DFT calculation with PBE was carried out for a geometry-optimized Li2TaPb structure. Values from VASP.

DOS(E_F) (states/eV/f.u.): 3.7
Energy relative to the elements (meV per atom): 360

Structure (Quantum ESPRESSO input):
```
&SYSTEM
  ibrav = 0, nat = 4, ntyp = 3
/
ATOMIC_SPECIES
Li 6.94 Li.upf
Ta 180.95 Ta.upf
Pb 207.20 Pb.upf
ATOMIC_POSITIONS crystal
Li 0.001 0.001 0.905
Ta 0.246 0.246 0.349
Pb 0.496 0.496 0.402
Li 0.756 0.756 0.844
CELL_PARAMETERS angstrom
5.669 0.040 0.123
4.901 2.850 0.123
2.156 0.590 5.036
```